No. 1
# LaCuAsF PBE-GGA optimized geometry
data_LaCuAsF
_space_group_name_H-M_alt 'P 4/n m m'
_space_group_IT_number 129
_cell_length_a 4.043
_cell_length_b 4.043
_cell_length_c 8.622
_cell_angle_alpha 90.00
_cell_angle_beta 90.00
_cell_angle_gamma 90.00
loop_
_space_group_symop_operation_xyz
'x,y,z'
'-x,-y,-z'
'-y+1/2,x,z'
'y+1/2,-x,-z'
'-x+1/2,-y+1/2,z'
'x+1/2,y+1/2,-z'
'y,-x+1/2,z'
'-y,x+1/2,-z'
'x+1/2,-y,-z'
'-x+1/2,y,z'
'-y,-x,-z'
'y,x,z'
'-x,y+1/2,-z'
'x,-y+1/2,z'
'y+1/2,x+1/2,-z'
'-y+1/2,-x+1/2,z'
loop_
_atom_site_label
_atom_site_type_symbol
_atom_site_fract_x
_atom_site_fract_y
_atom_site_fract_z
_atom_site_occupancy
La1 La 0.250 0.250 0.189 1
Cu1 Cu 0.250 0.750 0.500 1
As1 As 0.250 0.250 0.673 1
F1 F 0.250 0.750 0.000 1
# **Calculated density**: 7.0 g cm⁻³
# **Total energy**: -46.8 eV per cell
# **Spin magnetization**: 0.00 μB/f.u.
# **Raw formation energy**: -1.966 eV per atom

***

No. 2
# LiCu2AsF PBE-GGA optimized geometry
data_LiCu2AsF
_space_group_name_H-M_alt 'P 4/m m m'
_space_group_IT_number 123
_space_group_name_Hall '-P 4 2'
_cell_length_a 4.674
_cell_length_b 4.674
_cell_length_c 3.205
_cell_angle_alpha 90.00
_cell_angle_beta 90.00
_cell_angle_gamma 90.00
loop_
_atom_site_label
_atom_site_type_symbol
_atom_site_fract_x
_atom_site_fract_y
_atom_site_fract_z
_atom_site_occupancy
Li1 Li 0.000 0.000 0.000 1
Cu1 Cu 0.000 0.500 0.000 1
As1 As 0.500 0.500 0.500 1
F1 F 0.000 0.000 0.500 1
# **Calculated density**: 5.4 g cm⁻³
# **Total energy**: -18.4 eV per cell
# **Spin magnetization**: 0.00 μB/f.u.
# **Raw formation energy**: -0.345 eV per atom

***

No. 3
# Li2CuAsF6 PBE-GGA optimized geometry
data_Li2CuAsF6
_space_group_name_H-M_alt 'F m -3 m'
_space_group_IT_number 225
_space_group_name_Hall '-F 4 2 3'
_cell_length_a 8.365
_cell_length_b 8.365
_cell_length_c 8.365
_cell_angle_alpha 90.00
_cell_angle_beta 90.00
_cell_angle_gamma 90.00
loop_
_atom_site_label
_atom_site_type_symbol
_atom_site_fract_x
_atom_site_fract_y
_atom_site_fract_z
_atom_site_occupancy
Li1 Li 0.250 0.250 0.250 1
Cu1 Cu 0.000 0.000 0.000 1
As1 As 0.000 0.000 0.500 1
F1 F 0.000 0.000 0.253 1
# **Calculated density**: 3.0 g cm⁻³
# **Total energy**: -170.0 eV per cell
# **Spin magnetization**: 0.00 μB/f.u.
# **Raw formation energy**: -1.870 eV per atom

***

Which value of spin magnetization does entry 2 give? 0.00 μB/f.u.